RbZnNiO2 | GGA+U | relaxed

Cell lengths 6.450, 3.913, 6.509 Å; angles 90.00, 97.70, 90.00 degrees
Space group P2/c (No. 13)
One atom of each set of equivalent atoms:
Rb: 0.000 0.201 0.250 x2
Zn: 0.500 0.000 0.000 x2
Ni: 0.500 0.495 0.750 x2
O: 0.302 0.355 0.971 x4

Crystal system: monoclinic
Magnetic moment (Bohr magnetons per cell): 2.01
Uncorrected energy (eV for the cell shown): -38.1
Volume (Å³/atom): 16.28